Crystalline VCuSeO5 at its relaxed geometry, computed with PBE with a Hubbard U.

Structure (CIF):
```
data_VCuSeO5
_cell_length_a 7.340
_cell_length_b 8.420
_cell_length_c 7.409
_cell_angle_alpha 90.00
_cell_angle_beta 118.29
_cell_angle_gamma 90.00
_symmetry_space_group_name_H-M 'C 1 2/c 1'
_symmetry_Int_Tables_number 15
loop_
_symmetry_equiv_pos_as_xyz
'x,y,z'
'-x,-y,-z'
'-x,y,-z+1/2'
'x,-y,z+1/2'
'x+1/2,y+1/2,z'
'-x+1/2,-y+1/2,-z'
'-x+1/2,y+1/2,-z+1/2'
'x+1/2,-y+1/2,z+1/2'
loop_
_atom_site_label
_atom_site_fract_x
_atom_site_fract_y
_atom_site_fract_z
V1 0.000 0.000 0.000
Cu1 0.000 0.317 0.250
Se1 0.000 0.322 0.750
O1 0.000 0.021 0.750
O2 0.031 0.224 0.495
O3 0.187 0.473 0.852
```

Values from the calculation:
Size of the total moment = 0.1 μB/cell
Total DFT energy (no corrections) = -5.969 eV/atom